Entry 1:
5
Lattice="4.4759 0.0000 0.0000 0.0000 4.4759 0.0000 0.0000 0.0000 4.9175" Properties=species:S:1:pos:R:3 comment="PBE LaIN2Cl, relaxed" formation_energy_uncorrected_mev_per_atom=1270 de_polymorph_mev_per_atom=563 spacegroup="P4/mmm, No. 123" total_energy_ev_per_atom=-3.7254 n_ef_per_ev_fu=1.7 total_magnetization_mub_per_cell=0.0 pbc="T T T"
La 0.0000 0.0000 0.0000
I 2.2380 2.2380 0.0000
N 0.0000 2.2380 2.4588
N 2.2380 0.0000 2.4588
Cl 2.2380 2.2380 2.4588

Entry 2:
5
Lattice="4.3855 0.0000 0.0000 0.0000 4.3855 0.0000 0.0000 0.0000 7.2822" Properties=species:S:1:pos:R:3 comment="PBE LaIN2Cl, relaxed" formation_energy_uncorrected_mev_per_atom=706 de_polymorph_mev_per_atom=0 spacegroup="P4/mmm, No. 123" total_energy_ev_per_atom=-4.2888 n_ef_per_ev_fu=4.9 total_magnetization_mub_per_cell=1.3 pbc="T T T"
La 0.0000 0.0000 0.0000
I 0.0000 0.0000 3.6411
N 0.0000 2.1928 0.0000
N 2.1928 0.0000 0.0000
Cl 2.1928 2.1928 3.6411

Entry 3:
5
Lattice="6.6134 0.0000 0.0000 0.0000 6.6134 0.0000 0.0000 0.0000 4.1743" Properties=species:S:1:pos:R:3 comment="PBE LaI2NCl, relaxed" formation_energy_uncorrected_mev_per_atom=-93 de_polymorph_mev_per_atom=0 spacegroup="P4/mmm, No. 123" total_energy_ev_per_atom=-3.7333 n_ef_per_ev_fu=6.2 total_magnetization_mub_per_cell=2.3 pbc="T T T"
La 0.0000 0.0000 0.0000
I 0.0000 3.3067 0.0000
I 3.3067 0.0000 0.0000
N 0.0000 0.0000 2.0872
Cl 3.3067 3.3067 2.0872

Entry 4:
11
Lattice="-2.8107 2.8107 13.8739 2.8107 -2.8107 13.8739 2.8107 2.8107 -13.8739" Properties=species:S:1:pos:R:3 comment="PBE Na2La2I2Cl5, relaxed" formation_energy_uncorrected_mev_per_atom=-1768 spacegroup="I4/mmm, No. 139" total_energy_ev_per_atom=-4.0246 n_ef_per_ev_fu=8.7 total_magnetization_mub_per_cell=1.0 pbc="T T T"
Na 0.0000 0.0000 4.7969
Na 0.0000 0.0000 22.9508
La 0.0000 0.0000 11.0577
La 0.0000 0.0000 16.6900
I 0.0000 0.0000 7.8961
I 0.0000 0.0000 19.8516
Cl 2.8107 0.0000 3.1217
Cl 2.8107 0.0000 10.7521
Cl 0.0000 0.0000 13.8739
Cl 0.0000 2.8107 3.1217
Cl 0.0000 2.8107 10.7521

Entry 5:
5
Lattice="5.2032 0.0000 0.0000 0.0000 5.2032 0.0000 0.0000 0.0000 5.3765" Properties=species:S:1:pos:R:3 comment="PBE LaNiI2Cl, relaxed" formation_energy_uncorrected_mev_per_atom=-698 spacegroup="P4/mmm, No. 123" total_energy_ev_per_atom=-3.8295 n_ef_per_ev_fu=1.2 total_magnetization_mub_per_cell=0.0 pbc="T T T"
La 0.0000 0.0000 0.0000
Ni 0.0000 0.0000 2.6883
I 0.0000 2.6016 2.6883
I 2.6016 0.0000 2.6883
Cl 2.6016 2.6016 0.0000

Entry 6:
16
Lattice="4.2111 2.4313 8.0542 -4.2111 2.4313 8.0542 0.0000 -4.8625 8.0542" Properties=species:S:1:pos:R:3 comment="PBE La8Ni3I4Cl, relaxed" formation_energy_uncorrected_mev_per_atom=-869 spacegroup="R-3m, No. 166" total_energy_ev_per_atom=-4.9196 n_ef_per_ev_fu=16.7 total_magnetization_mub_per_cell=0.0 pbc="T T T"
La -2.1567 -1.2452 13.6873
La 0.0000 0.0000 5.4722
La 0.0000 -2.4904 10.4752
La -2.1567 1.2452 10.4752
La 2.1567 -1.2452 13.6873
La 0.0000 2.4904 13.6873
La 0.0000 0.0000 18.6902
La 2.1567 1.2452 10.4752
Ni -4.2111 0.0000 12.0812
Ni -2.1055 1.2156 4.0271
Ni 2.1055 1.2156 4.0271
I 0.0000 0.0000 0.0000
I -2.1055 -1.2156 8.0542
I -2.1055 1.2156 16.1083
I 0.0000 2.4313 8.0542
Cl 0.0000 0.0000 12.0812

Entry 7:
8
Lattice="7.3282 0.0000 0.0000 0.0000 4.1326 0.0000 -2.5451 0.0000 8.0696" Properties=species:S:1:pos:R:3 comment="PBE La4NiI2Cl, relaxed" formation_energy_uncorrected_mev_per_atom=-1016 spacegroup="P2/m, No. 10" total_energy_ev_per_atom=-4.8207 n_ef_per_ev_fu=6.5 total_magnetization_mub_per_cell=0.0 pbc="T T T"
La 1.1020 0.0000 1.5434
La -0.0567 2.0663 6.4293
La 4.8398 2.0663 1.6404
La 3.6811 0.0000 6.5263
Ni 0.0000 2.0663 0.0000
I -1.2726 0.0000 4.0348
I 2.3916 2.0663 4.0348
Cl 3.6641 0.0000 0.0000

Entry 8:
12
Lattice="3.7021 -6.4223 0.0000 3.7021 6.4223 0.0000 -2.4627 0.0000 7.9404" Properties=species:S:1:pos:R:3 comment="PBE La6Ni2I3Cl, relaxed" formation_energy_uncorrected_mev_per_atom=-943 spacegroup="C2/m, No. 12" total_energy_ev_per_atom=-4.9115 n_ef_per_ev_fu=7.7 total_magnetization_mub_per_cell=0.0 pbc="T T T"
La -0.0959 2.2987 6.4154
La 1.0537 0.0000 1.5059
La -0.0959 -2.2987 6.4154
La 5.0376 2.2987 1.5250
La 3.8880 0.0000 6.4345
La 5.0376 -2.2987 1.5250
Ni 3.7021 4.2744 0.0000
Ni 3.7021 -4.2744 0.0000
I -1.2313 0.0000 3.9702
I 2.4708 2.0557 3.9702
I 2.4708 -2.0557 3.9702
Cl 3.7021 0.0000 0.0000

Entry 9:
5
Lattice="4.3386 0.0000 0.0000 0.0000 4.3386 0.0000 0.0000 0.0000 7.4707" Properties=species:S:1:pos:R:3 comment="PBE LaIClO2, relaxed" formation_energy_uncorrected_mev_per_atom=-1167 de_polymorph_mev_per_atom=0 spacegroup="P4/mmm, No. 123" total_energy_ev_per_atom=-4.8156 n_ef_per_ev_fu=6.2 total_magnetization_mub_per_cell=0.0 pbc="T T T"
La 0.0000 0.0000 0.0000
I 0.0000 0.0000 3.7353
Cl 2.1693 2.1693 3.7353
O 0.0000 2.1693 0.0000
O 2.1693 0.0000 0.0000

Entry 10:
14
Lattice="5.3124 -3.7774 0.0000 5.3124 3.7774 0.0000 -1.2188 0.0000 6.9261" Properties=species:S:1:pos:R:3 comment="PBE LaIClO4, relaxed" formation_energy_uncorrected_mev_per_atom=-1360 spacegroup="C2/m, No. 12" total_energy_ev_per_atom=-5.3828 n_ef_per_ev_fu=0.0 total_magnetization_mub_per_cell=2.0 pbc="T T T"
La 2.1391 0.0000 0.8543
La 7.2668 0.0000 6.0718
I 3.0952 0.0000 4.8420
I 6.3108 0.0000 2.0841
Cl -0.6370 0.0000 5.3336
Cl 10.0429 0.0000 1.5925
O 2.3077 1.3316 5.8720
O 1.9737 0.0000 3.3034
O 4.5104 0.0000 1.4912
O 2.3077 -1.3316 5.8720
O 7.0982 1.3316 1.0542
O 4.8955 0.0000 5.4350
O 7.4322 0.0000 3.6228
O 7.0982 -1.3316 1.0542

Entry 11:
5
Lattice="4.5753 0.0000 0.0000 0.0000 4.5753 0.0000 0.0000 0.0000 4.9604" Properties=species:S:1:pos:R:3 comment="PBE LaIClO2, relaxed" formation_energy_uncorrected_mev_per_atom=-147 de_polymorph_mev_per_atom=1020 spacegroup="P4/mmm, No. 123" total_energy_ev_per_atom=-3.7956 n_ef_per_ev_fu=3.4 total_magnetization_mub_per_cell=0.0 pbc="T T T"
La 0.0000 0.0000 0.0000
I 2.2877 2.2877 0.0000
Cl 2.2877 2.2877 2.4802
O 0.0000 2.2877 2.4802
O 2.2877 0.0000 2.4802

Entry 12:
8
Lattice="7.2348 0.0000 0.0000 0.0000 4.2181 0.0000 -2.4521 0.0000 7.9577" Properties=species:S:1:pos:R:3 comment="PBE La4PI2Cl, relaxed" formation_energy_uncorrected_mev_per_atom=-1353 spacegroup="P2/m, No. 10" total_energy_ev_per_atom=-5.1113 n_ef_per_ev_fu=5.4 total_magnetization_mub_per_cell=0.0 pbc="T T T"
La 1.1698 0.0000 1.5804
La -0.0684 2.1090 6.3679
La 4.8511 2.1090 1.5899
La 3.6130 0.0000 6.3774
P 0.0000 2.1090 0.0000
I -1.2260 0.0000 3.9789
I 2.3914 2.1090 3.9789
Cl 3.6174 0.0000 0.0000

Entry 13:
5
Lattice="5.3931 0.0000 0.0000 0.0000 5.3931 0.0000 0.0000 0.0000 6.3267" Properties=species:S:1:pos:R:3 comment="PBE LaPICl2, relaxed" formation_energy_uncorrected_mev_per_atom=-869 spacegroup="P4/mmm, No. 123" total_energy_ev_per_atom=-3.9855 n_ef_per_ev_fu=1.7 total_magnetization_mub_per_cell=1.1 pbc="T T T"
La 0.0000 0.0000 0.0000
P 0.0000 0.0000 3.1633
I 2.6966 2.6966 3.1633
Cl 0.0000 2.6966 0.0000
Cl 2.6966 0.0000 0.0000

Entry 14:
5
Lattice="5.9355 0.0000 0.0000 0.0000 5.9355 0.0000 0.0000 0.0000 5.4255" Properties=species:S:1:pos:R:3 comment="PBE LaP2ICl, relaxed" formation_energy_uncorrected_mev_per_atom=59 de_polymorph_mev_per_atom=0 spacegroup="P4/mmm, No. 123" total_energy_ev_per_atom=-3.7696 n_ef_per_ev_fu=6.7 total_magnetization_mub_per_cell=3.3 pbc="T T T"
La 0.0000 0.0000 0.0000
P 0.0000 2.9677 0.0000
P 2.9677 0.0000 0.0000
I 2.9677 2.9677 2.7128
Cl 0.0000 0.0000 2.7128

Entry 15:
5
Lattice="5.1861 0.0000 0.0000 0.0000 5.1861 0.0000 0.0000 0.0000 5.1905" Properties=species:S:1:pos:R:3 comment="PBE LaP2ICl, relaxed" formation_energy_uncorrected_mev_per_atom=170 de_polymorph_mev_per_atom=111 spacegroup="P4/mmm, No. 123" total_energy_ev_per_atom=-3.6589 n_ef_per_ev_fu=3.8 total_magnetization_mub_per_cell=0.0 pbc="T T T"
La 0.0000 0.0000 0.0000
P 0.0000 2.5931 2.5952
P 2.5931 0.0000 2.5952
I 2.5931 2.5931 2.5952
Cl 2.5931 2.5931 0.0000

Entry 16:
12
Lattice="3.7648 -6.4973 0.0000 3.7648 6.4973 0.0000 -2.4993 0.0000 7.8935" Properties=species:S:1:pos:R:3 comment="PBE La6Pd2I3Cl, relaxed" formation_energy_uncorrected_mev_per_atom=-1048 spacegroup="C2/m, No. 12" total_energy_ev_per_atom=-4.9186 n_ef_per_ev_fu=10.7 total_magnetization_mub_per_cell=0.0 pbc="T T T"
La -0.0462 2.2471 6.2794
La 1.1585 0.0000 1.5810
La -0.0462 -2.2471 6.2794
La 5.0764 2.2471 1.6141
La 3.8717 0.0000 6.3126
La 5.0764 -2.2471 1.6141
Pd 3.7648 4.3223 0.0000
Pd 3.7648 -4.3223 0.0000
I -1.2497 0.0000 3.9468
I 2.5151 2.0988 3.9468
I 2.5151 -2.0988 3.9468
Cl 3.7648 0.0000 0.0000

Entry 17:
16
Lattice="4.2858 2.4744 8.0473 -4.2858 2.4744 8.0473 0.0000 -4.9488 8.0473" Properties=species:S:1:pos:R:3 comment="PBE La8Pd3I4Cl, relaxed" formation_energy_uncorrected_mev_per_atom=-1022 spacegroup="R-3m, No. 166" total_energy_ev_per_atom=-4.9627 n_ef_per_ev_fu=14.9 total_magnetization_mub_per_cell=0.0 pbc="T T T"
La 0.0000 0.0000 5.5384
La -2.1230 -1.2257 13.7420
La 0.0000 -2.4515 10.3999
La -2.1230 1.2257 10.3999
La 2.1230 -1.2257 13.7420
La 0.0000 2.4515 13.7420
La 2.1230 1.2257 10.3999
La 0.0000 0.0000 18.6036
Pd -4.2858 0.0000 12.0710
Pd -2.1429 1.2372 4.0236
Pd 2.1429 1.2372 4.0237
I 0.0000 0.0000 0.0000
I -2.1429 -1.2372 8.0473
I -2.1429 1.2372 16.0946
I 0.0000 2.4744 8.0473
Cl 0.0000 0.0000 12.0710

Entry 18:
8
Lattice="7.3153 0.0000 0.0000 0.0000 4.2049 0.0000 -2.6385 0.0000 8.1410" Properties=species:S:1:pos:R:3 comment="PBE La4PdI2Cl, relaxed" formation_energy_uncorrected_mev_per_atom=-1108 spacegroup="P2/m, No. 10" total_energy_ev_per_atom=-4.8390 n_ef_per_ev_fu=6.0 total_magnetization_mub_per_cell=0.0 pbc="T T T"
La 1.0698 0.0000 1.6691
La -0.1454 2.1025 6.5208
La 4.8222 2.1025 1.6202
La 3.6070 0.0000 6.4719
Pd 3.6577 0.0000 0.0000
I -1.3192 0.0000 4.0705
I 2.3384 2.1025 4.0705
Cl 0.0000 2.1025 0.0000

Entry 19:
12
Lattice="9.5851 0.0000 0.0000 0.0000 4.1607 0.0000 -0.1393 0.0000 10.1146" Properties=species:S:1:pos:R:3 comment="PBE La3PdICl, relaxed" formation_energy_uncorrected_mev_per_atom=-1068 spacegroup="P2_1/m, No. 11" total_energy_ev_per_atom=-4.9633 n_ef_per_ev_fu=6.2 total_magnetization_mub_per_cell=1.7 pbc="T T T"
La 0.6328 1.0402 3.4495
La 1.4270 1.0402 9.4668
La 3.3394 3.1205 6.3446
La 6.1064 1.0402 3.7700
La 8.0187 3.1205 0.6478
La 8.8130 3.1205 6.6652
Pd 1.2977 1.0402 6.4948
Pd 8.1481 3.1205 3.6198
I 3.4314 3.1205 3.0316
I 6.0144 1.0402 7.0830
Cl 3.4214 3.1205 9.2921
Cl 6.0244 1.0402 0.8225

Entry 20:
8
Lattice="7.4039 0.0000 0.0000 0.0000 4.2178 0.0000 -2.5745 0.0000 8.0481" Properties=species:S:1:pos:R:3 comment="PBE La4PtI2Cl, relaxed" formation_energy_uncorrected_mev_per_atom=-1231 spacegroup="P2/m, No. 10" total_energy_ev_per_atom=-5.0684 n_ef_per_ev_fu=6.6 total_magnetization_mub_per_cell=0.0 pbc="T T T"
La 1.1512 0.0000 1.6052
La -0.0316 2.1089 6.3905
La 4.8610 2.1089 1.6577
La 3.6783 0.0000 6.4429
Pt 0.0000 2.1089 0.0000
I -1.2872 0.0000 4.0241
I 2.4147 2.1089 4.0241
Cl 3.7019 0.0000 0.0000

Entry 21:
12
Lattice="9.9595 -2.1582 0.0000 9.9595 2.1582 0.0000 -3.1096 0.0000 8.7161" Properties=species:S:1:pos:R:3 comment="PBE La6Pt3ICl2, relaxed" formation_energy_uncorrected_mev_per_atom=-1355 spacegroup="C2/m, No. 12" total_energy_ev_per_atom=-5.7656 n_ef_per_ev_fu=10.6 total_magnetization_mub_per_cell=0.0 pbc="T T T"
La -0.4347 0.0000 1.9081
La 4.9849 0.0000 3.8572
La 4.0408 0.0000 7.8163
La 12.7686 0.0000 0.8997
La 11.8244 0.0000 4.8589
La 17.2441 0.0000 6.8080
Pt 2.2987 0.0000 2.8703
Pt 9.9595 0.0000 0.0000
Pt 14.5107 0.0000 5.8458
I 8.4047 0.0000 4.3580
Cl 0.7794 0.0000 7.3120
Cl 16.0300 0.0000 1.4041

Entry 22:
12
Lattice="3.8119 -6.5943 0.0000 3.8119 6.5943 0.0000 -2.5257 0.0000 7.8910" Properties=species:S:1:pos:R:3 comment="PBE La6Pt2I3Cl, relaxed" formation_energy_uncorrected_mev_per_atom=-1231 spacegroup="C2/m, No. 12" total_energy_ev_per_atom=-5.2429 n_ef_per_ev_fu=9.3 total_magnetization_mub_per_cell=0.0 pbc="T T T"
La -0.0821 2.3493 6.3220
La 1.1024 0.0000 1.5379
La -0.0821 -2.3493 6.3220
La 5.1802 2.3493 1.5690
La 3.9957 0.0000 6.3531
La 5.1802 -2.3493 1.5690
Pt 3.8119 4.3866 0.0000
Pt 3.8119 -4.3866 0.0000
I -1.2629 0.0000 3.9455
I 2.5491 2.0992 3.9455
I 2.5491 -2.0992 3.9455
Cl 3.8119 0.0000 0.0000

Entry 23:
12
Lattice="9.7905 0.0000 0.0000 0.0000 4.1947 0.0000 -0.5439 0.0000 10.1991" Properties=species:S:1:pos:R:3 comment="PBE La3PtICl, relaxed" formation_energy_uncorrected_mev_per_atom=-1250 spacegroup="P2_1/m, No. 11" total_energy_ev_per_atom=-5.2862 n_ef_per_ev_fu=5.9 total_magnetization_mub_per_cell=2.0 pbc="T T T"
La 0.4934 1.0487 3.5875
La 1.0127 1.0487 9.5521
La 2.9802 3.1460 6.5868
La 6.2663 1.0487 3.6123
La 8.2338 3.1460 0.6470
La 8.7532 3.1460 6.6116
Pt 1.0030 1.0487 6.6212
Pt 8.2435 3.1460 3.5779
I 3.4636 3.1460 3.2923
I 5.7829 1.0487 6.9068
Cl 3.0310 3.1460 9.5106
Cl 6.2156 1.0487 0.6884